[1]
DFT (PBE) results for crystalline CaGa4Pt3 at its relaxed geometry.

Computed properties:
ΔH_f (0 K)	-731.0	meV/atom
electronic total energy	-4.76	eV/atom
crystal system	tetragonal

abc: 4.184 4.184 8.680
angles: 90.00 90.00 90.00
Sites, in units of the cell vectors:
Ca1 0.000 0.000 0.000
Ga1 0.000 0.500 0.323
Ga2 0.000 0.500 0.677
Ga3 0.500 0.000 0.323
Ga4 0.500 0.000 0.677
Pt1 0.000 0.000 0.500
Pt2 0.500 0.500 0.154
Pt3 0.500 0.500 0.846

=====

[2]
DFT (PBE) results for crystalline CaGa5Pt2 at its relaxed geometry.

Computed properties:
ΔH_f (0 K)	-616.8	meV/atom
electronic total energy	-4.27	eV/atom
crystal system	monoclinic

abc: 6.565 6.565 3.977
angles: 107.55 107.55 69.79
Sites, in units of the cell vectors:
Ca1 0.000 0.000 0.000
Ga1 0.160 0.552 0.357
Ga2 0.448 0.840 0.643
Ga3 0.500 0.500 0.000
Ga4 0.552 0.160 0.357
Ga5 0.840 0.448 0.643
Pt1 0.254 0.254 0.756
Pt2 0.746 0.746 0.244

=====

[3]
DFT (PBE) results for crystalline Ca4Ga3Pt at its relaxed geometry.

Computed properties:
ΔH_f (0 K)	-606.9	meV/atom
electronic total energy	-3.50	eV/atom
crystal system	orthorhombic

abc: 4.210 4.371 11.159
angles: 90.00 90.00 90.00
Sites, in units of the cell vectors:
Ca1 0.000 0.000 0.000
Ca2 0.000 0.500 0.280
Ca3 0.500 0.000 0.484
Ca4 0.500 0.500 0.783
Ga1 0.000 0.000 0.706
Ga2 0.000 0.500 0.568
Ga3 0.500 0.500 0.077
Pt1 0.500 0.000 0.197

=====

[4]
DFT (PBE) results for crystalline CaGa4Pt at its relaxed geometry.

Computed properties:
ΔH_f (0 K)	-429.7	meV/atom
electronic total energy	-3.79	eV/atom
crystal system	triclinic

abc: 5.985 6.268 7.005
angles: 92.57 92.16 111.35
Sites, in units of the cell vectors:
Ca1 0.133 0.156 0.221
Ca2 0.867 0.844 0.779
Ga1 0.052 0.350 0.595
Ga2 0.145 0.668 0.091
Ga3 0.372 0.841 0.625
Ga4 0.407 0.317 0.826
Ga5 0.593 0.683 0.174
Ga6 0.628 0.159 0.375
Ga7 0.855 0.332 0.909
Ga8 0.948 0.650 0.405
Pt1 0.500 0.000 0.000
Pt2 0.500 0.500 0.500

=====

[5]
DFT (PBE) results for crystalline Ca2Ga4Pt at its relaxed geometry.

Computed properties:
ΔH_f (0 K)	-291.0	meV/atom
electronic total energy	-3.46	eV/atom
crystal system	tetragonal

abc: 8.656 8.656 8.656
angles: 148.16 148.16 45.65
Sites, in units of the cell vectors:
Ca1 0.153 0.153 0.000
Ca2 0.847 0.847 0.000
Ga1 0.000 0.500 0.500
Ga2 0.338 0.338 0.000
Ga3 0.500 0.000 0.500
Ga4 0.662 0.662 0.000
Pt1 0.500 0.500 0.000

=====

[6]
DFT (PBE) results for crystalline Ca2GaPt3 at its relaxed geometry.

Computed properties:
ΔH_f (0 K)	-569.4	meV/atom
electronic total energy	-4.76	eV/atom
energy above the most stable polymorph in this dataset	0.4082	eV per atom
crystal system	orthorhombic

abc: 6.642 6.642 6.642
angles: 142.55 131.53 62.81
Sites, in units of the cell vectors:
Ca1 0.184 0.184 0.000
Ca2 0.816 0.816 0.000
Ga1 0.500 0.500 0.000
Pt1 0.000 0.500 0.500
Pt2 0.378 0.878 0.500
Pt3 0.622 0.122 0.500

=====

| no. | V (Å³ per cell) | size of the total moment (μB per formula unit) | theoretical density (g/cm3) |
| --- | --- | --- | --- |
| 1 | 151.9 | 0.0 | 9.9 |
| 2 | 149.6 | 0.0 | 8.6 |
| 3 | 205.4 | 0.0 | 4.6 |
| 4 | 244.1 | 0.0 | 7.0 |
| 5 | 180.0 | 0.0 | 5.1 |
| 6 | 131.8 | 0.0 | 9.3 |